[1]
This record from Alexandria describes a relaxed BeTc2B crystal. The functional is GGA-PBE.

Geometry as CIF:
```
data_BeTc2B
_cell_length_a 5.876
_cell_length_b 5.876
_cell_length_c 4.937
_cell_angle_alpha 53.48
_cell_angle_beta 53.48
_cell_angle_gamma 90.00
_space_group_name_H-M_alt 'P 1'
_space_group_IT_number 1
_space_group_name_Hall 'P 1'
loop_
_atom_site_label
_atom_site_type_symbol
_atom_site_fract_x
_atom_site_fract_y
_atom_site_fract_z
Be1 Be 0.500 0.500 0.000
Be2 Be 0.250 0.750 0.500
B1 B 0.000 0.000 0.000
B2 B 0.750 0.250 0.500
Tc1 Tc 0.655 0.125 0.250
Tc2 Tc 0.095 0.625 0.250
Tc3 Tc 0.375 0.345 0.750
Tc4 Tc 0.875 0.905 0.750
```

Computed properties:
Density in g cm⁻³: 7.8
Space-group type: I-42d
Total moment in μB per cell: 0.0
Distance to the lowest polymorph of the same formula in meV per atom: 136.6
Energy of formation from the pure elements in meV per atom: 153

---

[2]
This record from Alexandria describes a relaxed BeTcB crystal. The functional is GGA-PBE.

Geometry as CIF:
```
data_BeTcB
_cell_length_a 3.981
_cell_length_b 3.981
_cell_length_c 5.271
_cell_angle_alpha 112.19
_cell_angle_beta 112.19
_cell_angle_gamma 90.00
_space_group_name_H-M_alt 'P 1'
_space_group_IT_number 1
_space_group_name_Hall 'P 1'
loop_
_atom_site_label
_atom_site_type_symbol
_atom_site_fract_x
_atom_site_fract_y
_atom_site_fract_z
B1 B 0.754 0.754 0.507
B2 B 0.004 0.504 0.007
Be1 Be 0.221 0.721 0.443
Be2 Be 0.971 0.971 0.943
Tc1 Tc 0.525 0.525 0.050
Tc2 Tc 0.775 0.275 0.550
```

Computed properties:
Density in g cm⁻³: 5.5
Space-group type: I4_1md
Total moment in μB per cell: 0.0
Distance to the lowest polymorph of the same formula in meV per atom: 760.3
Energy of formation from the pure elements in meV per atom: 362

---

[3]
This record from Alexandria describes a relaxed BeTcB crystal. The functional is GGA-PBE.

Geometry as CIF:
```
data_BeTcB
_cell_length_a 2.898
_cell_length_b 2.898
_cell_length_c 4.334
_cell_angle_alpha 109.53
_cell_angle_beta 109.53
_cell_angle_gamma 90.00
_space_group_name_H-M_alt 'P 1'
_space_group_IT_number 1
_space_group_name_Hall 'P 1'
loop_
_atom_site_label
_atom_site_type_symbol
_atom_site_fract_x
_atom_site_fract_y
_atom_site_fract_z
Be1 Be 0.273 0.273 0.545
B1 B 0.996 0.996 0.993
Tc1 Tc 0.581 0.581 0.162
```

Computed properties:
Density in g cm⁻³: 6.1
Space-group type: I4mm
Total moment in μB per cell: 0.0
Distance to the lowest polymorph of the same formula in meV per atom: 501.8
Energy of formation from the pure elements in meV per atom: 104

---

[4]
This record from Alexandria describes a relaxed BeTc3B crystal. The functional is GGA-PBE.

Geometry as CIF:
```
data_BeTc3B
_cell_length_a 4.053
_cell_length_b 4.053
_cell_length_c 4.053
_cell_angle_alpha 90.00
_cell_angle_beta 90.00
_cell_angle_gamma 90.00
_space_group_name_H-M_alt 'P 1'
_space_group_IT_number 1
_space_group_name_Hall 'P 1'
loop_
_atom_site_label
_atom_site_type_symbol
_atom_site_fract_x
_atom_site_fract_y
_atom_site_fract_z
Be1 Be 0.500 0.500 0.500
B1 B 0.000 0.000 0.000
Tc1 Tc 0.000 0.500 0.000
Tc2 Tc 0.000 0.000 0.500
Tc3 Tc 0.500 0.000 0.000
```

Computed properties:
Density in g cm⁻³: 7.8
Space-group type: Pm-3m
Total moment in μB per cell: 0.0
Distance to the lowest polymorph of the same formula in meV per atom: 0.0
Energy of formation from the pure elements in meV per atom: 382

---

[5]
This record from Alexandria describes a relaxed Be3TcB crystal. The functional is GGA-PBE.

Geometry as CIF:
```
data_Be3TcB
_cell_length_a 3.607
_cell_length_b 3.607
_cell_length_c 3.607
_cell_angle_alpha 90.00
_cell_angle_beta 90.00
_cell_angle_gamma 90.00
_space_group_name_H-M_alt 'P 1'
_space_group_IT_number 1
_space_group_name_Hall 'P 1'
loop_
_atom_site_label
_atom_site_type_symbol
_atom_site_fract_x
_atom_site_fract_y
_atom_site_fract_z
Be1 Be 0.000 0.500 0.000
Be2 Be 0.000 0.000 0.500
Be3 Be 0.500 0.000 0.000
B1 B 0.000 0.000 0.000
Tc1 Tc 0.500 0.500 0.500
```

Computed properties:
Density in g cm⁻³: 4.8
Space-group type: Pm-3m
Total moment in μB per cell: 1.3
Distance to the lowest polymorph of the same formula in meV per atom: 611.5
Energy of formation from the pure elements in meV per atom: 383

---

[6]
This record from Alexandria describes a relaxed Be3TcB crystal. The functional is GGA-PBE.

Geometry as CIF:
```
data_Be3TcB
_cell_length_a 4.160
_cell_length_b 4.160
_cell_length_c 4.160
_cell_angle_alpha 90.00
_cell_angle_beta 90.00
_cell_angle_gamma 90.00
_space_group_name_H-M_alt 'P 1'
_space_group_IT_number 1
_space_group_name_Hall 'P 1'
loop_
_atom_site_label
_atom_site_type_symbol
_atom_site_fract_x
_atom_site_fract_y
_atom_site_fract_z
Be1 Be 0.000 0.500 0.000
Be2 Be 0.000 0.000 0.500
Be3 Be 0.500 0.000 0.000
B1 B 0.500 0.500 0.500
Tc1 Tc 0.000 0.000 0.000
```

Computed properties:
Density in g cm⁻³: 3.1
Space-group type: Pm-3m
Total moment in μB per cell: 0.0
Distance to the lowest polymorph of the same formula in meV per atom: 2050.2
Energy of formation from the pure elements in meV per atom: 1821

---

[7]
This record from Alexandria describes a relaxed Th2Be3TcB12 crystal. The functional is GGA-PBE.

Geometry as CIF:
```
data_Th2Be3TcB12
_cell_length_a 7.170
_cell_length_b 7.170
_cell_length_c 7.170
_cell_angle_alpha 51.35
_cell_angle_beta 51.35
_cell_angle_gamma 51.35
_space_group_name_H-M_alt 'P 1'
_space_group_IT_number 1
_space_group_name_Hall 'P 1'
loop_
_atom_site_label
_atom_site_type_symbol
_atom_site_fract_x
_atom_site_fract_y
_atom_site_fract_z
Th1 Th 0.618 0.618 0.618
Th2 Th 0.382 0.382 0.382
Be1 Be 0.500 0.000 0.000
Be2 Be 0.000 0.500 0.000
Be3 Be 0.000 0.000 0.500
Tc1 Tc 0.000 0.000 0.000
B1 B 0.335 0.335 0.050
B2 B 0.896 0.896 0.393
B3 B 0.393 0.896 0.896
B4 B 0.050 0.335 0.335
B5 B 0.896 0.393 0.896
B6 B 0.335 0.050 0.335
B7 B 0.665 0.665 0.950
B8 B 0.104 0.104 0.607
B9 B 0.607 0.104 0.104
B10 B 0.950 0.665 0.665
B11 B 0.104 0.607 0.104
B12 B 0.665 0.950 0.665
```

Computed properties:
Density in g cm⁻³: 5.8
Space-group type: R-3m
Total moment in μB per cell: 0.0
Energy of formation from the pure elements in meV per atom: 140

---

[8]
This record from Alexandria describes a relaxed BeV2TcB crystal. The functional is GGA-PBE.

Geometry as CIF:
```
data_BeV2TcB
_cell_length_a 4.125
_cell_length_b 3.425
_cell_length_c 4.125
_cell_angle_alpha 90.00
_cell_angle_beta 90.00
_cell_angle_gamma 90.00
_space_group_name_H-M_alt 'P 1'
_space_group_IT_number 1
_space_group_name_Hall 'P 1'
loop_
_atom_site_label
_atom_site_type_symbol
_atom_site_fract_x
_atom_site_fract_y
_atom_site_fract_z
Be1 Be 0.000 0.500 0.000
B1 B 0.000 0.000 0.000
Tc1 Tc 0.500 0.500 0.500
V1 V 0.000 0.000 0.500
V2 V 0.500 0.000 0.000
```

Computed properties:
Density in g cm⁻³: 6.3
Space-group type: P4/mmm
Total moment in μB per cell: 0.0
Energy of formation from the pure elements in meV per atom: 66

---

[9]
This record from Alexandria describes a relaxed Be3BTe crystal. The functional is GGA-PBE.

Geometry as CIF:
```
data_Be3BTe
_cell_length_a 3.964
_cell_length_b 3.964
_cell_length_c 3.964
_cell_angle_alpha 90.00
_cell_angle_beta 90.00
_cell_angle_gamma 90.00
_space_group_name_H-M_alt 'P 1'
_space_group_IT_number 1
_space_group_name_Hall 'P 1'
loop_
_atom_site_label
_atom_site_type_symbol
_atom_site_fract_x
_atom_site_fract_y
_atom_site_fract_z
Be1 Be 0.000 0.500 0.000
Be2 Be 0.000 0.000 0.500
Be3 Be 0.500 0.000 0.000
B1 B 0.000 0.000 0.000
Te1 Te 0.500 0.500 0.500
```

Computed properties:
Density in g cm⁻³: 4.4
Space-group type: Pm-3m
Total moment in μB per cell: 0.0
Distance to the lowest polymorph of the same formula in meV per atom: 0.0
ΔE_f (raw) in eV/atom: 0.502

---

[10]
This record from Alexandria describes a relaxed Be3BTe crystal. The functional is GGA-PBE.

Geometry as CIF:
```
data_Be3BTe
_cell_length_a 4.629
_cell_length_b 4.629
_cell_length_c 4.629
_cell_angle_alpha 90.00
_cell_angle_beta 90.00
_cell_angle_gamma 90.00
_space_group_name_H-M_alt 'P 1'
_space_group_IT_number 1
_space_group_name_Hall 'P 1'
loop_
_atom_site_label
_atom_site_type_symbol
_atom_site_fract_x
_atom_site_fract_y
_atom_site_fract_z
Be1 Be 0.000 0.500 0.000
Be2 Be 0.000 0.000 0.500
Be3 Be 0.500 0.000 0.000
B1 B 0.500 0.500 0.500
Te1 Te 0.000 0.000 0.000
```

Computed properties:
Density in g cm⁻³: 2.8
Space-group type: Pm-3m
Total moment in μB per cell: 0.0
Distance to the lowest polymorph of the same formula in meV per atom: 1633.2
ΔE_f (raw) in eV/atom: 2.135